[1]
DFT (SCAN) results for a PBEsol-optimized structure of Ho2CuRu.

Results
SG: Fm-3m
DFT formation energy in eV/atom: -0.44

Cell: 4.7438 4.7438 4.7438 Å, 60.00 60.00 60.00°
Closest atoms and distances in Å follow each position.
Positions (direct):
Ru: 0.0000 0.0000 0.0000  8 Ho 2.90
Ho: 0.2500 0.2500 0.2500  4 Cu 2.90, 4 Ru 2.90
Ho: 0.7500 0.7500 0.7500  4 Ru 2.90, 4 Cu 2.90
Cu: 0.5000 0.5000 0.5000  8 Ho 2.90

[2]
DFT (SCAN) results for a PBEsol-optimized structure of HPd2W.

Results
DFT total energy in eV per formula unit: -136.89
SG: I-42d

Cell: 4.8832 5.0884 5.0884 Å, 76.69 61.32 61.32°
Closest atoms and distances in Å follow each position.
Positions (direct):
H: 0.2500 0.5000 0.5000  4 Pd 1.93
H: 0.5000 0.0000 0.0000  4 Pd 1.93
Pd: 0.2297 0.8953 0.3953  2 H 1.93
Pd: 0.5203 0.1047 0.6047  2 H 1.93
Pd: 0.3750 0.3953 0.1047  2 H 1.93
Pd: 0.8750 0.6047 0.8953  2 H 1.93
W: 0.7500 0.5000 0.5000  2 H 2.44, 4 Pd 2.59
W: 0.0000 0.0000 0.0000  2 H 2.44, 4 Pd 2.59

[3]
DFT (SCAN) results for a PBEsol-optimized structure of ScHgPb2.

Results
SG: I-4m2
DFT formation energy in eV/atom: -0.25

Cell: 4.3703 4.3703 5.9054 Å, 111.72 111.72 90.00°
Closest atoms and distances in Å follow each position.
Positions (direct):
Pb: 0.0000 0.0000 0.0000  4 Sc 3.09, 4 Hg 3.33, 4 Pb 3.33
Pb: 0.7500 0.2500 0.5000  4 Hg 3.09, 4 Pb 3.33, 4 Sc 3.33
Sc: 0.5000 0.5000 0.0000  8 Pb 3.09-3.33, 4 Hg 3.33
Hg: 0.2500 0.7500 0.5000  8 Pb 3.09-3.33, 4 Sc 3.33

[4]
DFT (SCAN) results for a PBEsol-optimized structure of Cu2RuSe.

Results
SG: Cmmm
Formation energy without anion corrections in eV/f.u.: 1.6

Cell: 2.9636 4.4706 4.4706 Å, 114.38 90.00 90.00°
Closest atoms and distances in Å follow each position.
Positions (direct):
Cu: 0.0000 0.5000 0.0000  2 Cu 2.42, 4 Ru 2.68, 4 Se 2.68
Cu: 0.0000 0.0000 0.5000  2 Cu 2.42, 4 Se 2.68, 4 Ru 2.68
Ru: 0.5000 0.0000 0.0000  2 Se 2.42, 8 Cu 2.68
Se: 0.5000 0.5000 0.5000  2 Ru 2.42, 8 Cu 2.68

[5]
DFT (SCAN) results for a PBEsol-optimized structure of SbPNO2.

Results
SG: P4/mmm
Formation energy without anion corrections in eV/f.u.: -1.3

Cell: 3.6598 3.6598 3.8078 Å, 90.00 90.00 90.00°
Closest atoms and distances in Å follow each position.
Positions (direct):
Sb: 0.5000 0.5000 0.5000  4 N 2.59, 8 O 2.64
N: 0.0000 0.0000 0.5000  2 P 1.90
O: 0.0000 0.5000 0.0000  2 P 1.83
O: 0.5000 0.0000 0.0000  2 P 1.83
P: 0.0000 0.0000 0.0000  4 O 1.83, 2 N 1.90

[6]
DFT (SCAN) results for a PBEsol-optimized structure of AlReSi.

Results
SG: P3m1
Formation energy without anion corrections in eV/f.u.: -0.2

Cell: 2.8739 2.8739 6.0577 Å, 90.00 90.00 120.00°
Closest atoms and distances in Å follow each position.
Positions (direct):
Re: 0.3333 0.6667 0.6545  3 Si 2.48, 3 Al 2.64
Si: 0.6667 0.3333 0.3511  3 Re 2.48, 3 Al 2.72
Al: 0.0000 0.0000 0.9944  3 Re 2.64, 3 Si 2.72, 6 Al 2.87

[7]
DFT (SCAN) results for a PBEsol-optimized structure of Rb2CrNiN.

Results
SG: P4/mmm
Formation energy without anion corrections in eV/f.u.: 2.0

Cell: 3.4125 6.2285 6.2285 Å, 90.00 90.00 90.00°
Closest atoms and distances in Å follow each position.
Positions (direct):
Ni: 0.5000 0.0000 0.0000  2 N 1.71
N: 0.0000 0.0000 0.0000  2 Ni 1.71
Rb: 0.0000 0.0000 0.5000  2 N 3.11, 2 Rb 3.41
Rb: 0.0000 0.5000 0.0000  2 N 3.11, 2 Rb 3.41
Cr: 0.5000 0.5000 0.5000  2 Cr 3.41, 8 Rb 3.55

[8]
DFT (SCAN) results for a PBEsol-optimized structure of KLaCo2.

Results
SG: P4/mmm
DFT formation energy in eV/atom: 0.58
E above lowest polymorph in eV/atom: 0.0000

Cell: 3.7922 3.7922 7.4666 Å, 90.00 90.00 90.00°
Closest atoms and distances in Å follow each position.
Positions (direct):
Co: 0.0000 0.0000 0.1447  1 Co 2.16
Co: 0.0000 0.0000 0.8553  1 Co 2.16
K: 0.5000 0.5000 0.5000  2 La 3.73, 8 Co 3.77, 4 K 3.79
La: 0.5000 0.5000 0.0000  8 Co 2.89

[9]
DFT (SCAN) results for a PBEsol-optimized structure of PrDy3.

Results
SG: P6_3/mmc
DFT formation energy in eV/atom: 0.02
E above lowest polymorph in eV/atom: 0.0003

Cell: 5.6354 7.1233 7.1233 Å, 120.00 90.00 90.00°
Closest atoms and distances in Å follow each position.
Positions (direct):
Pr: 0.7500 0.3333 0.6667  12 Dy 3.49-3.56
Pr: 0.2500 0.6667 0.3333  12 Dy 3.49-3.56
Dy: 0.2500 0.6683 0.8341  8 Dy 3.48-3.58, 4 Pr 3.49-3.56
Dy: 0.2500 0.1659 0.3317  8 Dy 3.48-3.58, 4 Pr 3.49-3.56
Dy: 0.2500 0.1659 0.8341  8 Dy 3.48-3.58, 4 Pr 3.49-3.56
Dy: 0.7500 0.3317 0.1659  8 Dy 3.48-3.58, 4 Pr 3.49-3.56
Dy: 0.7500 0.8341 0.6683  8 Dy 3.48-3.58, 4 Pr 3.49-3.56
Dy: 0.7500 0.8341 0.1659  8 Dy 3.48-3.58, 4 Pr 3.49-3.56

[10]
DFT (SCAN) results for a PBEsol-optimized structure of Ga2W3O12.

Results
SG: Pbcn
Formation energy without anion corrections in eV/f.u.: -36.4

Cell: 9.2544 9.3430 12.8522 Å, 90.00 90.00 90.00°
Closest atoms and distances in Å follow each position.
Positions (direct):
Ga: 0.2496 0.0354 0.6199  6 O 1.93-1.99
Ga: 0.7496 0.0354 0.8801  6 O 1.93-1.99
Ga: 0.7496 0.4646 0.1199  6 O 1.93-1.99
Ga: 0.2496 0.4646 0.3801  6 O 1.93-1.99
Ga: 0.2504 0.5354 0.8801  6 O 1.93-1.99
Ga: 0.7504 0.5354 0.6199  6 O 1.93-1.99
Ga: 0.2504 0.9646 0.1199  6 O 1.93-1.99
Ga: 0.7504 0.9646 0.3801  6 O 1.93-1.99
W: 0.3986 0.1212 0.3550  4 O 1.78-1.79
W: 0.8986 0.1212 0.1450  4 O 1.78-1.79
W: 0.4773 0.2500 0.0000  4 O 1.78-1.79
W: 0.9773 0.2500 0.5000  4 O 1.78-1.79
W: 0.3986 0.3788 0.6450  4 O 1.78-1.79
W: 0.8986 0.3788 0.8550  4 O 1.78-1.79
W: 0.1014 0.6212 0.1450  4 O 1.78-1.79
W: 0.6014 0.6212 0.3550  4 O 1.78-1.79
W: 0.5227 0.7500 0.0000  4 O 1.78-1.79
W: 0.0227 0.7500 0.5000  4 O 1.78-1.79
W: 0.1014 0.8788 0.8550  4 O 1.78-1.79
W: 0.6014 0.8788 0.6450  4 O 1.78-1.79
O: 0.1789 0.9905 0.7574  1 W 1.78, 1 Ga 1.93
O: 0.6789 0.9905 0.7426  1 W 1.78, 1 Ga 1.93
O: 0.8206 0.0775 0.0227  1 W 1.78, 1 Ga 1.99
O: 0.3206 0.0775 0.4773  1 W 1.78, 1 Ga 1.99
O: 0.0896 0.0958 0.1392  1 W 1.78, 1 Ga 1.94
O: 0.5896 0.0958 0.3608  1 W 1.78, 1 Ga 1.94
O: 0.3681 0.1176 0.0609  1 W 1.78, 1 Ga 1.95
O: 0.8681 0.1176 0.4391  1 W 1.78, 1 Ga 1.95
O: 0.5892 0.1700 0.9030  1 W 1.79, 1 Ga 1.97
O: 0.0892 0.1700 0.5970  1 W 1.79, 1 Ga 1.97
O: 0.8663 0.1940 0.8276  1 W 1.79, 1 Ga 1.95
O: 0.3663 0.1940 0.6724  1 W 1.79, 1 Ga 1.95
O: 0.8663 0.3060 0.1724  1 W 1.79, 1 Ga 1.95
O: 0.3663 0.3060 0.3276  1 W 1.79, 1 Ga 1.95
O: 0.5892 0.3300 0.0970  1 W 1.79, 1 Ga 1.97
O: 0.0892 0.3300 0.4030  1 W 1.79, 1 Ga 1.97
O: 0.8681 0.3824 0.5609  1 W 1.78, 1 Ga 1.95
O: 0.3681 0.3824 0.9391  1 W 1.78, 1 Ga 1.95
O: 0.5896 0.4042 0.6392  1 W 1.78, 1 Ga 1.94
O: 0.0896 0.4042 0.8608  1 W 1.78, 1 Ga 1.94
O: 0.3206 0.4224 0.5227  1 W 1.78, 1 Ga 1.99
O: 0.8206 0.4224 0.9773  1 W 1.78, 1 Ga 1.99
O: 0.6789 0.5095 0.2574  1 W 1.78, 1 Ga 1.93
O: 0.1789 0.5095 0.2426  1 W 1.78, 1 Ga 1.93
O: 0.3211 0.4905 0.7426  1 W 1.78, 1 Ga 1.93
O: 0.8211 0.4905 0.7574  1 W 1.78, 1 Ga 1.93
O: 0.1794 0.5776 0.0227  1 W 1.78, 1 Ga 1.99
O: 0.6794 0.5776 0.4773  1 W 1.78, 1 Ga 1.99
O: 0.4104 0.5958 0.3608  1 W 1.78, 1 Ga 1.94
O: 0.9104 0.5958 0.1392  1 W 1.78, 1 Ga 1.94
O: 0.6319 0.6176 0.0609  1 W 1.78, 1 Ga 1.95
O: 0.1319 0.6176 0.4391  1 W 1.78, 1 Ga 1.95
O: 0.4108 0.6700 0.9030  1 W 1.79, 1 Ga 1.97
O: 0.9108 0.6700 0.5970  1 W 1.79, 1 Ga 1.97
O: 0.6337 0.6940 0.6724  1 W 1.79, 1 Ga 1.95
O: 0.1337 0.6940 0.8276  1 W 1.79, 1 Ga 1.95
O: 0.1337 0.8060 0.1724  1 W 1.79, 1 Ga 1.95
O: 0.6337 0.8060 0.3276  1 W 1.79, 1 Ga 1.95
O: 0.9108 0.8300 0.4030  1 W 1.79, 1 Ga 1.97
O: 0.4108 0.8300 0.0970  1 W 1.79, 1 Ga 1.97
O: 0.6319 0.8824 0.9391  1 W 1.78, 1 Ga 1.95
O: 0.1319 0.8824 0.5609  1 W 1.78, 1 Ga 1.95
O: 0.9104 0.9042 0.8608  1 W 1.78, 1 Ga 1.94
O: 0.4104 0.9042 0.6392  1 W 1.78, 1 Ga 1.94
O: 0.1794 0.9224 0.9773  1 W 1.78, 1 Ga 1.99
O: 0.6794 0.9224 0.5227  1 W 1.78, 1 Ga 1.99
O: 0.8211 0.0095 0.2426  1 W 1.78, 1 Ga 1.93
O: 0.3211 0.0095 0.2574  1 W 1.78, 1 Ga 1.93